1.
Here is a relaxed SrAcAs2O6 crystal from the Alexandria database. Energies are from PBE.

Cell and atoms, written as POSCAR:
```
SrAcAs2O6
1.0
-5.057 -2.500 1.389
-1.253 -5.316 -1.980
0.396 -4.986 4.616
O Sr As Ac
6 1 2 1
direct
0.760 0.032 0.741 O
0.032 0.468 0.741 O
0.468 0.760 0.741 O
0.968 0.532 0.259 O
0.532 0.240 0.259 O
0.240 0.968 0.259 O
0.000 0.000 0.000 Sr
0.714 0.714 0.859 As
0.286 0.286 0.141 As
0.500 0.500 0.500 Ac
```

Output
DFT total energy	-6.60	eV per atom
theoretical density	5.376	g cm⁻³
E_form (uncorrected)	-2115	meV per atom
space-group type	R-3, No. 148

***

2.
Here is a relaxed SrAc3As4O12 crystal from the Alexandria database. Energies are from PBE.

Cell and atoms, written as POSCAR:
```
SrAc3As4O12
1.0
7.586 -0.042 -0.058
-1.869 7.353 -0.058
-1.869 -2.389 6.954
As Sr O Ac
4 1 12 3
direct
0.500 0.500 0.500 As
0.931 0.069 0.500 As
0.500 0.931 0.069 As
0.069 0.500 0.931 As
0.000 0.000 0.000 Sr
0.652 0.794 0.985 O
0.078 0.922 0.500 O
0.660 0.500 0.340 O
0.985 0.652 0.794 O
0.340 0.660 0.500 O
0.922 0.500 0.078 O
0.206 0.348 0.015 O
0.015 0.206 0.348 O
0.500 0.078 0.922 O
0.500 0.340 0.660 O
0.794 0.985 0.652 O
0.348 0.015 0.206 O
0.453 0.000 0.547 Ac
0.547 0.453 0.000 Ac
0.000 0.547 0.453 Ac
```

Output
DFT total energy	-6.50	eV per atom
theoretical density	5.433	g cm⁻³
E_form (uncorrected)	-1893	meV per atom
space-group type	R32, No. 155

***

3.
Here is a relaxed AcTbAs2O8 crystal from the Alexandria database. Energies are from PBE.

Cell and atoms, written as POSCAR:
```
AcTbAs2O8
1.0
5.204 0.000 0.000
0.000 5.204 0.000
-2.602 -2.602 5.951
O Ac As Tb
8 1 2 1
direct
0.579 0.708 0.660 O
0.292 0.919 0.340 O
0.424 0.326 0.145 O
0.081 0.952 0.660 O
0.674 0.279 0.855 O
0.048 0.421 0.340 O
0.721 0.819 0.145 O
0.181 0.576 0.855 O
0.750 0.250 0.500 Ac
0.250 0.750 0.500 As
0.500 0.500 0.000 As
0.000 0.000 0.000 Tb
```

Output
DFT total energy	-7.14	eV per atom
theoretical density	6.838	g cm⁻³
E_form (uncorrected)	-2333	meV per atom
space-group type	I-4, No. 82

***

4.
Here is a relaxed AcTbAsO2 crystal from the Alexandria database. Energies are from PBE.

Cell and atoms, written as POSCAR:
```
AcTbAsO2
1.0
-3.771 0.440 1.628
-0.718 -1.024 -6.628
-0.357 -7.479 1.194
O Ac Tb As
4 2 2 2
direct
0.831 0.662 0.443 O
0.831 0.662 0.057 O
0.169 0.338 0.943 O
0.169 0.338 0.557 O
0.272 0.543 0.250 Ac
0.728 0.457 0.750 Ac
0.000 0.000 0.000 Tb
0.000 0.000 0.500 Tb
0.549 0.097 0.250 As
0.451 0.903 0.750 As
```

Output
DFT total energy	-7.08	eV per atom
theoretical density	8.139	g cm⁻³
E_form (uncorrected)	-2420	meV per atom
space-group type	Cmcm, No. 63

***

5.
Here is a relaxed AcTb2AsO8 crystal from the Alexandria database. Energies are from PBE.

Cell and atoms, written as POSCAR:
```
AcTb2AsO8
1.0
-1.352 -3.840 1.687
4.328 -2.984 -1.544
3.845 0.661 6.032
O Tb As Ac
8 2 1 1
direct
0.435 0.270 0.491 O
0.077 0.744 0.204 O
0.874 0.219 0.168 O
0.387 0.108 0.013 O
0.126 0.781 0.832 O
0.565 0.730 0.509 O
0.613 0.892 0.987 O
0.923 0.256 0.796 O
0.573 0.557 0.254 Tb
0.427 0.443 0.746 Tb
0.000 0.000 0.000 As
0.000 0.000 0.500 Ac
```

Output
DFT total energy	-7.27	eV per atom
theoretical density	7.296	g cm⁻³
E_form (uncorrected)	-2459	meV per atom
space-group type	P-1, No. 2

***

6.
Here is a relaxed Ac2TbAsO6 crystal from the Alexandria database. Energies are from PBE.

Cell and atoms, written as POSCAR:
```
Ac2TbAsO6
1.0
-2.414 0.574 5.572
-4.220 -4.103 -1.315
-0.792 -4.853 3.613
O Ac As Tb
6 2 1 1
direct
0.186 0.187 0.490 O
0.814 0.813 0.510 O
0.322 0.812 0.003 O
0.678 0.188 0.997 O
0.254 0.369 0.886 O
0.746 0.631 0.114 O
0.248 0.770 0.479 Ac
0.752 0.230 0.521 Ac
0.500 0.500 0.000 As
0.000 0.000 0.000 Tb
```

Output
DFT total energy	-7.47	eV per atom
theoretical density	8.315	g cm⁻³
E_form (uncorrected)	-2742	meV per atom
space-group type	P-1, No. 2

***

Which value of DFT total energy does entry 4 give?
-7.08 eV per atom